(1)
The following is a GGA-PBE calculation of crystalline OsPd at its relaxed geometry, from the Alexandria database.

The structure belongs to space group F-43m (No. 216); the cell edges are 5.601, 5.601 and 5.601 Å and the angles 90.00°, 90.00° and 90.00°. The asymmetric unit holds Os at (0.000, 0.000, 0.000) and Pd at (0.250, 0.250, 0.250).

The calculation puts the density of states at the Fermi level at 3.674 states/eV/f.u. As for the calculated total energy: -6.303 eV per atom.

***

(2)
The following is a GGA-PBE calculation of crystalline Os4Pd at its relaxed geometry, from the Alexandria database.

The structure belongs to space group Pm-3m (No. 221); the cell edges are 4.585, 4.585 and 4.585 Å and the angles 90.00°, 90.00° and 90.00°. The asymmetric unit holds Os at (0.000, 0.000, 0.000), Os at (0.000, 0.500, 0.500) and Pd at (0.500, 0.500, 0.500).

The calculation puts the density of states at the Fermi level at 7.766 states/eV/f.u. As for the calculated total energy: -6.855 eV per atom.

***

(3)
The following is a GGA-PBE calculation of crystalline OsPd at its relaxed geometry, from the Alexandria database.

The structure belongs to space group Pm-3n (No. 223); the cell edges are 6.906, 6.906 and 6.906 Å and the angles 90.00°, 90.00° and 90.00°. The asymmetric unit holds Os at (0.000, 0.250, 0.500) and Pd at (0.000, 0.500, 0.250).

The calculation puts the density of states at the Fermi level at 2.878 states/eV/f.u. As for the calculated total energy: -6.169 eV per atom.

***

(4)
The following is a GGA-PBE calculation of crystalline OsPd at its relaxed geometry, from the Alexandria database.

The structure belongs to space group Immm (No. 71); the cell edges are 2.701, 4.369 and 17.106 Å and the angles 90.00°, 90.00° and 90.00°. The asymmetric unit holds Os at (0.000, 0.000, 0.000), Os at (0.000, 0.000, 0.272), Pd at (0.000, 0.000, 0.500) and Pd at (0.000, 0.500, 0.367).

The calculation puts the density of states at the Fermi level at 2.230 states/eV/f.u. As for the calculated total energy: -7.561 eV per atom.

***

(5)
The following is a GGA-PBE calculation of crystalline OsPd at its relaxed geometry, from the Alexandria database.

The structure belongs to space group I-43m (No. 217); the cell edges are 7.676, 7.676 and 7.676 Å and the angles 90.00°, 90.00° and 90.00°. The asymmetric unit holds Os at (0.118, 0.118, 0.882) and Pd at (0.202, 0.202, 0.202).

The calculation puts the density of states at the Fermi level at 3.587 states/eV/f.u. As for the calculated total energy: -6.486 eV per atom.

***

(6)
The following is a GGA-PBE calculation of crystalline OsPd at its relaxed geometry, from the Alexandria database.

The structure belongs to space group Pmmn (No. 59, origin choice 2); the cell edges are 2.758, 3.835 and 5.579 Å and the angles 90.00°, 90.00° and 90.00°. The asymmetric unit holds Os at (0.250, 0.250, 0.107) and Pd at (0.250, 0.250, 0.626).

The calculation puts the density of states at the Fermi level at 1.662 states/eV/f.u. As for the calculated total energy: -8.045 eV per atom.

***

(7)
The following is a GGA-PBE calculation of crystalline Pm8Os2Pd at its relaxed geometry, from the Alexandria database.

The structure belongs to space group Cm (No. 8); the cell edges are 8.548, 12.848 and 6.169 Å and the angles 90.00°, 108.85° and 90.00°. The asymmetric unit holds Pm at (0.000, 0.000, 0.000), Pm at (0.076, 0.368, 0.796), Pm at (0.158, 0.132, 0.595), Pm at (0.232, 0.500, 0.393), Pm at (0.365, 0.219, 0.198), Os at (0.368, 0.310, 0.696) and Pd at (0.368, 0.000, 0.346).

The value obtained for the offset from the most stable computed form is 43.0 meV/atom. The calculation puts the density of states at the Fermi level at 11.090 states/eV/f.u.

***

(8)
The following is a GGA-PBE calculation of crystalline Pm2OsPd at its relaxed geometry, from the Alexandria database.

The structure belongs to space group P4/mmm (No. 123); the cell edges are 3.501, 3.501 and 7.284 Å and the angles 90.00°, 90.00° and 90.00°. The asymmetric unit holds Pm at (0.000, 0.000, 0.238), Os at (0.500, 0.500, 0.000) and Pd at (0.500, 0.500, 0.500).

The value obtained for the offset from the most stable computed form is 0.0 meV/atom. The calculation puts the density of states at the Fermi level at 1.533 states/eV/f.u.